(1)
RbCr2SiSe after structural relaxation, computed with PBE.

```
5
Lattice="-2.251 -1.120 4.210 4.152 -1.988 1.691 1.498 4.925 2.112" Properties=species:S:1:pos:R:3 pbc="T T T"
Si 0.000 0.000 0.000
Se 0.749 2.463 1.056
Cr 2.076 -0.994 0.846
Cr -1.126 -0.560 2.105
Rb 1.699 0.908 4.006
```

ΔE_f (raw)   0.51 eV/atom
Volume   134 Å³ per cell

=====

(2)
Ho3UPd12 after structural relaxation, computed with PBE.

```
16
Lattice="-0.541 -0.121 4.084 0.637 -4.072 -0.037 16.071 2.493 2.205" Properties=species:S:1:pos:R:3 pbc="T T T"
Ho 8.036 1.246 1.103
Ho 11.988 1.859 1.645
Ho 4.084 0.633 0.560
Pd 1.683 0.242 2.310
Pd 6.337 -1.102 0.807
Pd 13.847 2.129 3.979
Pd 4.041 -1.477 2.572
Pd 5.748 0.873 2.868
Pd 10.371 -0.477 1.361
Pd 12.125 -0.223 3.681
Pd 14.436 0.154 1.919
Pd 2.272 -1.733 0.250
Pd 9.782 1.499 3.421
Pd 0.048 -2.097 2.024
Pd 8.083 -0.850 3.126
U 0.000 0.000 0.000
```

E_form   -0.827 eV/atom
Volume   279 Å³ per cell